DFT (GGA-PBE) results for an optimized crystal structure of FePb3W.

Cell lengths 5.4065, 5.4065, 5.4065 Å; angles 90.00, 90.00, 90.00 degrees
Each line ends with the local moment (μB).
Sites, in units of the cell vectors:
1 Pb 0.0000 0.5000 0.0000  -0.02
2 Pb 0.0000 0.0000 0.5000  -0.02
3 Pb 0.5000 0.0000 0.0000  -0.03
4 Fe 0.5000 0.5000 0.5000  3.28
5 W 0.0000 0.0000 0.0000  0.47

Values from the calculation:
* relative energy among the computed polymorphs: 0 meV per atom
* crystal system: cubic
* formation energy: 1.23 eV per atom
* space group: Pm-3m, No. 221

DFT (GGA-PBE) results for an optimized crystal structure of MoBr3.

Cell lengths 7.7164, 7.7164, 7.7164 Å; angles 155.57, 141.28, 46.31 degrees
Each line ends with the local moment (μB).
Sites, in units of the cell vectors:
1 Mo 0.5000 0.0000 0.5000  1.95
2 Br 0.6456 0.6456 0.0000  0.02
3 Br 0.3544 0.3544 0.0000  0.02
4 Br 0.0000 0.5000 0.5000  -0.07

Values from the calculation:
* formation energy without anion corrections: -0.08 eV per atom
* crystal system: orthorhombic
* space group: Immm, No. 71

DFT (GGA-PBE) results for an optimized crystal structure of AgSb.

Cell lengths 3.5814, 5.7611, 4.5874 Å; angles 90.00, 90.00, 90.00 degrees
Sites, in units of the cell vectors:
1 Sb 0.5000 0.0000 0.5953
2 Sb 0.0000 0.5000 0.2380
3 Ag 0.0000 0.0000 0.0926
4 Ag 0.5000 0.5000 0.7407

Values from the calculation:
* formation energy without anion corrections: 0.16 eV per atom
* relative energy among the computed polymorphs: 83 meV per atom
* crystal system: orthorhombic
* space group: Pmmn, No. 59

DFT (GGA-PBE) results for an optimized crystal structure of Al2Ni2Se.

Cell lengths 7.1041, 7.1041, 2.7744 Å; angles 90.00, 90.00, 90.00 degrees
Sites, in units of the cell vectors:
1 Ni 0.3578 0.8578 0.0000
2 Ni 0.8578 0.6422 0.0000
3 Ni 0.6422 0.1422 0.0000
4 Ni 0.1422 0.3578 0.0000
5 Al 0.1497 0.6497 0.5000
6 Al 0.6497 0.8503 0.5000
7 Al 0.8503 0.3503 0.5000
8 Al 0.3503 0.1497 0.5000
9 Se 0.0000 0.0000 0.0000
10 Se 0.5000 0.5000 0.0000

Values from the calculation:
* formation energy without anion corrections: -0.29 eV per atom
* crystal system: tetragonal
* space group: P4/mbm, No. 127

DFT (GGA-PBE) results for an optimized crystal structure of Ce4Nd3PuSe8.

Cell lengths 8.4077, 8.4246, 8.4077 Å; angles 119.93, 120.00, 90.00 degrees
Each line ends with the local moment (μB).
Sites, in units of the cell vectors:
1 Ce 0.5000 0.0000 0.0000  0.84
2 Ce 0.5000 0.0000 0.5000  0.81
3 Ce 0.0000 0.0000 0.0000  0.81
4 Ce 0.0000 0.0000 0.5000  0.81
5 Nd 0.5000 0.5000 0.0000  0.00
6 Nd 0.5000 0.5000 0.5000  0.00
7 Nd 0.0000 0.5000 0.5000  0.00
8 Pu 0.0000 0.5000 0.0000  5.43
9 Se 0.2479 0.7493 0.0014  -0.03
10 Se 0.2479 0.7493 0.4958  -0.03
11 Se 0.2493 0.2478 0.4986  -0.01
12 Se 0.7536 0.7493 0.0014  -0.03
13 Se 0.2464 0.2507 0.9986  -0.03
14 Se 0.7507 0.7522 0.5014  -0.01
15 Se 0.7521 0.2507 0.5042  -0.03
16 Se 0.7521 0.2507 0.9986  -0.03

Values from the calculation:
* formation energy without anion corrections: -1.80 eV per atom
* crystal system: trigonal
* space group: R-3m, No. 166

DFT (GGA-PBE) results for an optimized crystal structure of SmThCdAu.

Cell lengths 5.3215, 5.3215, 5.3215 Å; angles 60.00, 60.00, 60.00 degrees
Each line ends with the local moment (μB).
Sites, in units of the cell vectors:
1 Au 0.2500 0.2500 0.2500  0.03
2 Sm 0.0000 0.0000 0.0000  0.17
3 Th 0.5000 0.5000 0.5000  0.18
4 Cd 0.7500 0.7500 0.7500  0.01

Values from the calculation:
* crystal system: cubic
* formation energy: -0.37 eV per atom
* space group: F-43m, No. 216